Compound: Sr3Au
Source: the Alexandria database
Functional: PBE
Structure: optimized geometry

POSCAR file:
```
Sr3Au
1.0
-2.2067 -1.6199 6.5513
-2.9390 -6.4607 -0.1861
5.9780 3.7457 -0.8038
Sr Au
3 1
Direct
0.6263 0.5000 0.1263 Sr
0.9466 0.3187 0.6279 Sr
0.3091 0.6813 0.6279 Sr
0.9513 0.0000 0.9513 Au
```

Results
space group = Imm2 (44)
formation energy from the elements = -0.37 eV per atom
VASP energy = -2.4512 eV per atom